1.
# CdHI2 (GGA-PBEsol, optimized geometry)
# Total magnetic moment ... 3.7 μB/cell
# Calculated volume ... 404.4 Å³ per cell
# Density of states at the Fermi level ... 0.419 states/eV/atom
# Total DFT energy (no corrections) ... -1.596 eV per atom
data_CdHI2
_symmetry_space_group_name_H-M 'F m -3 m'
_symmetry_Int_Tables_number 225
_symmetry_space_group_name_Hall '-F 4 2 3'
_cell_length_a 7.3950
_cell_length_b 7.3950
_cell_length_c 7.3950
_cell_angle_alpha 90.00
_cell_angle_beta 90.00
_cell_angle_gamma 90.00
loop_
_atom_site_label
_atom_site_type_symbol
_atom_site_fract_x
_atom_site_fract_y
_atom_site_fract_z
Cd1 Cd 0.0000 0.0000 0.0000
H1 H 0.0000 0.0000 0.5000
I1 I 0.2500 0.2500 0.2500

***

2.
# LaCdIn2H (GGA-PBEsol, optimized geometry)
# Total magnetic moment ... 0.0 μB/cell
# Calculated volume ... 119.6 Å³ per cell
# Density of states at the Fermi level ... 0.778 states/eV/atom
# Total DFT energy (no corrections) ... -3.101 eV per atom
data_LaCdIn2H
_symmetry_space_group_name_H-M 'P 4/m m m'
_symmetry_Int_Tables_number 123
_symmetry_space_group_name_Hall '-P 4 2'
_cell_length_a 5.7594
_cell_length_b 5.7594
_cell_length_c 3.6052
_cell_angle_alpha 90.00
_cell_angle_beta 90.00
_cell_angle_gamma 90.00
loop_
_atom_site_label
_atom_site_type_symbol
_atom_site_fract_x
_atom_site_fract_y
_atom_site_fract_z
La1 La 0.0000 0.0000 0.0000
Cd1 Cd 0.5000 0.5000 0.5000
In1 In 0.0000 0.5000 0.5000
H1 H 0.5000 0.5000 0.0000

***

3.
# RbCdInH2 (GGA-PBEsol, optimized geometry)
# Total magnetic moment ... 0.0 μB/cell
# Calculated volume ... 405.5 Å³ per cell
# Density of states at the Fermi level ... 0.149 states/eV/atom
# Total DFT energy (no corrections) ... -2.429 eV per atom
data_RbCdInH2
_symmetry_space_group_name_H-M 'F m m 2'
_symmetry_Int_Tables_number 42
_symmetry_space_group_name_Hall 'F 2 -2'
_cell_length_a 5.2905
_cell_length_b 5.4355
_cell_length_c 14.1016
_cell_angle_alpha 90.00
_cell_angle_beta 90.00
_cell_angle_gamma 90.00
loop_
_atom_site_label
_atom_site_type_symbol
_atom_site_fract_x
_atom_site_fract_y
_atom_site_fract_z
Rb1 Rb 0.0000 0.0000 0.0000
Cd1 Cd 0.0000 0.0000 0.2936
In1 In 0.0000 0.0000 0.7151
H1 H 0.0000 0.0000 0.4213
H2 H 0.0000 0.0000 0.5858

***

4.
# Cd2HIrRu (GGA-PBEsol, optimized geometry)
# Total magnetic moment ... 1.9 μB/cell
# Calculated volume ... 81.9 Å³ per cell
# Density of states at the Fermi level ... 0.519 states/eV/atom
# Total DFT energy (no corrections) ... -4.284 eV per atom
data_Cd2HIrRu
_symmetry_space_group_name_H-M 'P 4/m m m'
_symmetry_Int_Tables_number 123
_symmetry_space_group_name_Hall '-P 4 2'
_cell_length_a 5.1143
_cell_length_b 5.1143
_cell_length_c 3.1309
_cell_angle_alpha 90.00
_cell_angle_beta 90.00
_cell_angle_gamma 90.00
loop_
_atom_site_label
_atom_site_type_symbol
_atom_site_fract_x
_atom_site_fract_y
_atom_site_fract_z
Cd1 Cd 0.0000 0.5000 0.0000
H1 H 0.0000 0.0000 0.5000
Ir1 Ir 0.0000 0.0000 0.0000
Ru1 Ru 0.5000 0.5000 0.5000

***

Repeat the second record exactly.
# LaCdIn2H (GGA-PBEsol, optimized geometry)
# Total magnetic moment ... 0.0 μB/cell
# Calculated volume ... 119.6 Å³ per cell
# Density of states at the Fermi level ... 0.778 states/eV/atom
# Total DFT energy (no corrections) ... -3.101 eV per atom
data_LaCdIn2H
_symmetry_space_group_name_H-M 'P 4/m m m'
_symmetry_Int_Tables_number 123
_symmetry_space_group_name_Hall '-P 4 2'
_cell_length_a 5.7594
_cell_length_b 5.7594
_cell_length_c 3.6052
_cell_angle_alpha 90.00
_cell_angle_beta 90.00
_cell_angle_gamma 90.00
loop_
_atom_site_label
_atom_site_type_symbol
_atom_site_fract_x
_atom_site_fract_y
_atom_site_fract_z
La1 La 0.0000 0.0000 0.0000
Cd1 Cd 0.5000 0.5000 0.5000
In1 In 0.0000 0.5000 0.5000
H1 H 0.5000 0.5000 0.0000

***

> The lowest calculated volume belongs to which entry?

Cd2HIrRu

***

> Which value of calculated volume does entry 4 give?

81.9 Å³ per cell